1.
# TiHW

A relaxed TiHW crystal (PBE, Alexandria via LeMat-Bulk).

Lattice parameters (Å, degrees): 4.585 3.276 4.602 90.00 90.80 90.00
Fractional positions:
Ti: 0.007 0.250 0.238
Ti: 0.993 0.750 0.762
H: 0.116 0.250 0.629
H: 0.884 0.750 0.371
W: 0.498 0.250 0.758
W: 0.502 0.750 0.242

Computed properties:
raw total energy	-8.1935	eV per atom
crystal system	monoclinic


2.
# Ac4Sb3Te

A relaxed Ac4Sb3Te crystal (PBE, Alexandria via LeMat-Bulk).

Lattice parameters (Å, degrees): 6.764 6.764 6.764 90.00 90.00 90.00
Fractional positions:
Ac: 0.000 0.000 0.000
Ac: 0.000 0.500 0.500
Ac: 0.500 0.000 0.500
Ac: 0.500 0.500 0.000
Sb: 0.000 0.000 0.500
Sb: 0.000 0.500 0.000
Sb: 0.500 0.000 0.000
Te: 0.500 0.500 0.500

Computed properties:
energy relative to the elements, uncorrected	-1.3177	eV per atom
crystal system	cubic


3.
# LiCuW

A relaxed LiCuW crystal (PBE, Alexandria via LeMat-Bulk).

Lattice parameters (Å, degrees): 4.277 4.277 2.544 90.00 90.00 120.00
Fractional positions:
Li: 0.000 0.000 0.000
Cu: 0.333 0.667 0.000
W: 0.667 0.333 0.500

Computed properties:
raw total energy	-5.7940	eV per atom
crystal system	hexagonal


4.
# AcPr2Bi2

A relaxed AcPr2Bi2 crystal (PBE, Alexandria via LeMat-Bulk).

Lattice parameters (Å, degrees): 8.539 8.534 4.775 73.82 73.70 32.48
Fractional positions:
Ac: 0.000 0.000 0.000
Pr: 0.250 0.250 0.250
Pr: 0.750 0.750 0.750
Bi: 0.397 0.397 0.603
Bi: 0.603 0.603 0.397

Computed properties:
raw total energy	-4.8853	eV per atom
crystal system	orthorhombic


5.
# PaTe4Au2

A relaxed PaTe4Au2 crystal (PBE, Alexandria via LeMat-Bulk).

Lattice parameters (Å, degrees): 8.467 8.467 8.467 119.03 108.93 100.98
Fractional positions:
Pa: 0.480 0.230 0.250
Pa: 0.520 0.770 0.750
Te: 0.173 0.240 0.933
Te: 0.193 0.760 0.433
Te: 0.311 0.333 0.522
Te: 0.311 0.788 0.978
Te: 0.689 0.212 0.022
Te: 0.689 0.667 0.478
Te: 0.807 0.240 0.567
Te: 0.827 0.760 0.067
Au: 0.000 0.000 0.000
Au: 0.000 0.000 0.500
Au: 0.000 0.500 0.000
Au: 0.500 0.000 0.500

Computed properties:
energy relative to the elements, uncorrected	-0.3626	eV per atom
crystal system	orthorhombic


6.
# Mg2AlSi

A relaxed Mg2AlSi crystal (PBE, Alexandria via LeMat-Bulk).

Lattice parameters (Å, degrees): 3.188 3.188 26.728 90.00 90.00 120.00
Fractional positions:
Mg: 0.000 0.000 0.000
Mg: 0.000 0.000 0.236
Mg: 0.333 0.667 0.667
Mg: 0.333 0.667 0.903
Mg: 0.667 0.333 0.333
Mg: 0.667 0.333 0.570
Al: 0.000 0.000 0.483
Al: 0.333 0.667 0.149
Al: 0.667 0.333 0.816
Si: 0.000 0.000 0.746
Si: 0.333 0.667 0.413
Si: 0.667 0.333 0.080

Computed properties:
energy relative to the elements, uncorrected	0.1158	eV per atom
crystal system	trigonal


7.
# ScCr2Mo

A relaxed ScCr2Mo crystal (PBE, Alexandria via LeMat-Bulk).

Lattice parameters (Å, degrees): 3.100 3.100 6.444 90.00 90.00 90.00
Fractional positions:
Sc: 0.000 0.000 0.000
Cr: 0.500 0.500 0.282
Cr: 0.500 0.500 0.718
Mo: 0.000 0.000 0.500

Computed properties:
raw total energy	-8.9104	eV per atom
crystal system	tetragonal


8.
# CaSnSb2Te

A relaxed CaSnSb2Te crystal (PBE, Alexandria via LeMat-Bulk).

Lattice parameters (Å, degrees): 5.645 5.645 5.770 90.00 90.00 90.00
Fractional positions:
Ca: 0.000 0.000 0.000
Sn: 0.500 0.500 0.500
Sb: 0.000 0.500 0.500
Sb: 0.500 0.000 0.500
Te: 0.500 0.500 0.000

Computed properties:
energy relative to the elements, uncorrected	0.1530	eV per atom
crystal system	tetragonal


9.
# CuBiBPt2

A relaxed CuBiBPt2 crystal (PBE, Alexandria via LeMat-Bulk).

Lattice parameters (Å, degrees): 4.339 4.339 4.269 90.00 90.00 90.00
Fractional positions:
Cu: 0.000 0.000 0.000
Bi: 0.500 0.500 0.000
B: 0.000 0.000 0.500
Pt: 0.000 0.500 0.500
Pt: 0.500 0.000 0.500

Computed properties:
raw total energy	-5.3767	eV per atom
crystal system	tetragonal


10.
# Ac2Ce2Sn2Ir

A relaxed Ac2Ce2Sn2Ir crystal (PBE, Alexandria via LeMat-Bulk).

Lattice parameters (Å, degrees): 5.231 5.231 17.723 90.00 90.00 90.00
Fractional positions:
Ac: 0.000 0.000 0.178
Ac: 0.000 0.000 0.822
Ac: 0.500 0.500 0.322
Ac: 0.500 0.500 0.678
Ce: 0.000 0.500 0.000
Ce: 0.000 0.500 0.500
Ce: 0.500 0.000 0.000
Ce: 0.500 0.000 0.500
Sn: 0.000 0.000 0.371
Sn: 0.000 0.000 0.629
Sn: 0.500 0.500 0.129
Sn: 0.500 0.500 0.871
Ir: 0.000 0.000 0.000
Ir: 0.500 0.500 0.500

Computed properties:
raw total energy	-5.9083	eV per atom
crystal system	tetragonal


11.
# SrCo3Si

A relaxed SrCo3Si crystal (PBE, Alexandria via LeMat-Bulk).

Lattice parameters (Å, degrees): 4.365 4.365 4.365 90.00 90.00 90.00
Fractional positions:
Sr: 0.000 0.000 0.000
Co: 0.000 0.500 0.500
Co: 0.500 0.000 0.500
Co: 0.500 0.500 0.000
Si: 0.500 0.500 0.500

Computed properties:
energy relative to the elements, uncorrected	0.2597	eV per atom
crystal system	cubic


12.
# LaCeCdPb

A relaxed LaCeCdPb crystal (PBE, Alexandria via LeMat-Bulk).

Lattice parameters (Å, degrees): 5.115 5.115 9.090 90.00 90.00 90.00
Fractional positions:
La: 0.000 0.000 0.000
La: 0.500 0.500 0.500
Ce: 0.000 0.000 0.500
Ce: 0.500 0.500 0.000
Cd: 0.000 0.500 0.250
Cd: 0.500 0.000 0.750
Pb: 0.000 0.500 0.750
Pb: 0.500 0.000 0.250

Computed properties:
raw total energy	-4.2335	eV per atom
crystal system	tetragonal


13.
# K2Pd2Au

A relaxed K2Pd2Au crystal (PBE, Alexandria via LeMat-Bulk).

Lattice parameters (Å, degrees): 4.639 5.491 10.260 90.00 90.00 90.00
Fractional positions:
K: 0.000 0.000 0.203
K: 0.000 0.000 0.797
K: 0.500 0.500 0.297
K: 0.500 0.500 0.703
Pd: 0.000 0.255 0.500
Pd: 0.000 0.745 0.500
Pd: 0.500 0.245 0.000
Pd: 0.500 0.755 0.000
Au: 0.000 0.500 0.000
Au: 0.500 0.000 0.500

Computed properties:
raw total energy	-3.2987	eV per atom
crystal system	orthorhombic


14.
# BaNaAlH6

A relaxed BaNaAlH6 crystal (PBE, Alexandria via LeMat-Bulk).

Lattice parameters (Å, degrees): 5.356 5.356 5.171 90.00 90.00 120.00
Fractional positions:
Ba: 0.000 0.000 0.000
Na: 0.333 0.667 0.500
Al: 0.667 0.333 0.500
H: 0.410 0.059 0.700
H: 0.410 0.351 0.300
H: 0.649 0.059 0.300
H: 0.649 0.590 0.700
H: 0.941 0.351 0.700
H: 0.941 0.590 0.300

Computed properties:
raw total energy	-3.2714	eV per atom
crystal system	trigonal


15.
# LaZrGa2O

A relaxed LaZrGa2O crystal (PBE, Alexandria via LeMat-Bulk).

Lattice parameters (Å, degrees): 5.568 5.568 5.362 90.00 90.00 90.00
Fractional positions:
La: 0.000 0.000 0.000
Zr: 0.000 0.000 0.500
Ga: 0.000 0.500 0.000
Ga: 0.500 0.000 0.000
O: 0.500 0.500 0.500

Computed properties:
energy relative to the elements, uncorrected	1.4646	eV per atom
crystal system	tetragonal


16.
# BaSn4Au4

A relaxed BaSn4Au4 crystal (PBE, Alexandria via LeMat-Bulk).

Lattice parameters (Å, degrees): 6.936 6.936 10.106 126.91 126.91 40.88
Fractional positions:
Ba: 0.000 0.000 0.000
Sn: 0.200 0.200 0.848
Sn: 0.353 0.353 0.442
Sn: 0.647 0.647 0.558
Sn: 0.800 0.800 0.152
Au: 0.297 0.297 0.672
Au: 0.430 0.430 0.199
Au: 0.570 0.570 0.801
Au: 0.703 0.703 0.328

Computed properties:
raw total energy	-3.8101	eV per atom
crystal system	monoclinic


17.
# ZrV2Cl

A relaxed ZrV2Cl crystal (PBE, Alexandria via LeMat-Bulk).

Lattice parameters (Å, degrees): 7.335 7.335 5.007 90.00 90.00 90.00
Fractional positions:
Zr: 0.000 0.000 0.000
Zr: 0.000 0.500 0.250
Zr: 0.500 0.000 0.750
Zr: 0.500 0.500 0.500
V: 0.163 0.750 0.625
V: 0.250 0.163 0.375
V: 0.250 0.337 0.875
V: 0.337 0.750 0.125
V: 0.663 0.250 0.125
V: 0.750 0.663 0.875
V: 0.750 0.837 0.375
V: 0.837 0.250 0.625
Cl: 0.000 0.000 0.500
Cl: 0.000 0.500 0.750
Cl: 0.500 0.000 0.250
Cl: 0.500 0.500 0.000

Computed properties:
energy relative to the elements, uncorrected	0.3078	eV per atom
crystal system	tetragonal


18.
# RbCd6Cl12

A relaxed RbCd6Cl12 crystal (PBE, Alexandria via LeMat-Bulk).

Lattice parameters (Å, degrees): 8.963 8.963 8.963 109.77 109.77 109.77
Fractional positions:
Rb: 0.000 0.000 0.000
Cd: 0.238 0.238 0.602
Cd: 0.238 0.602 0.238
Cd: 0.398 0.762 0.762
Cd: 0.602 0.238 0.238
Cd: 0.762 0.398 0.762
Cd: 0.762 0.762 0.398
Cl: 0.112 0.500 0.888
Cl: 0.112 0.888 0.500
Cl: 0.168 0.442 0.442
Cl: 0.442 0.168 0.442
Cl: 0.442 0.442 0.168
Cl: 0.500 0.112 0.888
Cl: 0.500 0.888 0.112
Cl: 0.558 0.558 0.832
Cl: 0.558 0.832 0.558
Cl: 0.832 0.558 0.558
Cl: 0.888 0.112 0.500
Cl: 0.888 0.500 0.112

Computed properties:
energy relative to the elements, uncorrected	-0.9253	eV per atom
crystal system	trigonal


19.
# BaSrMg

A relaxed BaSrMg crystal (PBE, Alexandria via LeMat-Bulk).

Lattice parameters (Å, degrees): 6.196 6.196 4.096 90.00 90.00 120.00
Fractional positions:
Ba: 0.000 0.000 0.000
Sr: 0.333 0.667 0.573
Mg: 0.667 0.333 0.361

Computed properties:
raw total energy	-1.6576	eV per atom
crystal system	trigonal


20.
# Sm2ScSn3Rh4

A relaxed Sm2ScSn3Rh4 crystal (PBE, Alexandria via LeMat-Bulk).

Lattice parameters (Å, degrees): 4.329 4.329 11.406 90.00 90.00 90.00
Fractional positions:
Sm: 0.000 0.500 0.239
Sm: 0.500 0.000 0.761
Sc: 0.000 0.000 0.500
Sn: 0.000 0.500 0.870
Sn: 0.500 0.000 0.130
Sn: 0.500 0.500 0.500
Rh: 0.000 0.000 0.000
Rh: 0.000 0.500 0.642
Rh: 0.500 0.000 0.358
Rh: 0.500 0.500 0.000

Computed properties:
raw total energy	-6.4816	eV per atom
crystal system	tetragonal


21.
# In5Sn3Cl12

A relaxed In5Sn3Cl12 crystal (PBE, Alexandria via LeMat-Bulk).

Lattice parameters (Å, degrees): 15.077 15.077 15.077 109.47 109.47 109.47
Fractional positions:
In: 0.000 0.000 0.000
In: 0.000 0.000 0.500
In: 0.000 0.500 0.000
In: 0.000 0.500 0.500
In: 0.125 0.750 0.875
In: 0.125 0.875 0.250
In: 0.250 0.125 0.875
In: 0.250 0.625 0.375
In: 0.375 0.250 0.625
In: 0.375 0.625 0.750
In: 0.500 0.000 0.000
In: 0.500 0.000 0.500
In: 0.500 0.500 0.000
In: 0.500 0.500 0.500
In: 0.625 0.375 0.250
In: 0.625 0.750 0.375
In: 0.750 0.375 0.625
In: 0.750 0.875 0.125
In: 0.875 0.125 0.750
In: 0.875 0.250 0.125
Sn: 0.125 0.250 0.375
Sn: 0.125 0.375 0.750
Sn: 0.250 0.375 0.125
Sn: 0.250 0.875 0.625
Sn: 0.375 0.125 0.250
Sn: 0.375 0.750 0.125
Sn: 0.625 0.250 0.875
Sn: 0.625 0.875 0.750
Sn: 0.750 0.125 0.375
Sn: 0.750 0.625 0.875
Sn: 0.875 0.625 0.250
Sn: 0.875 0.750 0.625
Cl: 0.063 0.627 0.395
Cl: 0.063 0.936 0.668
Cl: 0.064 0.232 0.127
Cl: 0.064 0.332 0.937
Cl: 0.105 0.732 0.668
Cl: 0.105 0.873 0.437
Cl: 0.127 0.064 0.232
Cl: 0.127 0.563 0.895
Cl: 0.168 0.232 0.605
Cl: 0.168 0.436 0.563
Cl: 0.232 0.127 0.064
Cl: 0.232 0.605 0.168
Cl: 0.268 0.332 0.895
Cl: 0.268 0.436 0.373
Cl: 0.332 0.895 0.268
Cl: 0.332 0.937 0.064
Cl: 0.373 0.268 0.436
Cl: 0.373 0.605 0.937
Cl: 0.395 0.063 0.627
Cl: 0.395 0.832 0.768
Cl: 0.436 0.373 0.268
Cl: 0.436 0.563 0.168
Cl: 0.437 0.105 0.873
Cl: 0.437 0.832 0.564
Cl: 0.563 0.168 0.436
Cl: 0.563 0.895 0.127
Cl: 0.564 0.437 0.832
Cl: 0.564 0.627 0.732
Cl: 0.605 0.168 0.232
Cl: 0.605 0.937 0.373
Cl: 0.627 0.395 0.063
Cl: 0.627 0.732 0.564
Cl: 0.668 0.063 0.936
Cl: 0.668 0.105 0.732
Cl: 0.732 0.564 0.627
Cl: 0.732 0.668 0.105
Cl: 0.768 0.395 0.832
Cl: 0.768 0.873 0.936
Cl: 0.832 0.564 0.437
Cl: 0.832 0.768 0.395
Cl: 0.873 0.437 0.105
Cl: 0.873 0.936 0.768
Cl: 0.895 0.127 0.563
Cl: 0.895 0.268 0.332
Cl: 0.936 0.668 0.063
Cl: 0.936 0.768 0.873
Cl: 0.937 0.064 0.332
Cl: 0.937 0.373 0.605

Computed properties:
energy relative to the elements, uncorrected	-0.7475	eV per atom
crystal system	cubic


22.
# TaNiPd3

A relaxed TaNiPd3 crystal (PBE, Alexandria via LeMat-Bulk).

Lattice parameters (Å, degrees): 6.219 6.219 6.219 89.85 113.18 127.51
Fractional positions:
Ta: 0.058 0.250 0.308
Ta: 0.942 0.750 0.692
Ni: 0.028 0.526 0.002
Ni: 0.524 0.026 0.998
Pd: 0.023 0.213 0.752
Pd: 0.023 0.770 0.310
Pd: 0.460 0.270 0.248
Pd: 0.460 0.713 0.690
Pd: 0.467 0.270 0.697
Pd: 0.572 0.770 0.303

Computed properties:
raw total energy	-6.5609	eV per atom
crystal system	orthorhombic